1.
PrCd9Cu2 | PBE | optimized geometry

The formation energy comes out at -0.12 eV per atom.

The structure in POSCAR format:
```
PrCd9Cu2
1.0
-5.8565 5.8565 3.7118
5.8565 -5.8565 3.7118
5.8565 5.8565 -3.7118
Pr Cd Cu
2 18 4
Direct
0.3750 0.6250 0.7500 Pr
0.6250 0.3750 0.2500 Pr
0.1250 0.8750 0.2500 Cd
0.1289 0.5601 0.3270 Cd
0.1289 0.8019 0.5688 Cd
0.1981 0.2669 0.3270 Cd
0.1981 0.8711 0.9312 Cd
0.2669 0.1981 0.8270 Cd
0.2669 0.4399 0.0688 Cd
0.4399 0.2669 0.5688 Cd
0.4399 0.8711 0.1730 Cd
0.5601 0.1289 0.8270 Cd
0.5601 0.7331 0.4312 Cd
0.7331 0.5601 0.9312 Cd
0.7331 0.8019 0.1730 Cd
0.8019 0.1289 0.0688 Cd
0.8019 0.7331 0.6730 Cd
0.8711 0.1981 0.4312 Cd
0.8711 0.4399 0.6730 Cd
0.8750 0.1250 0.7500 Cd
0.0000 0.0000 0.0000 Cu
0.0000 0.0000 0.5000 Cu
0.0000 0.5000 0.0000 Cu
0.5000 0.0000 0.5000 Cu
```



2.
ScAg4Ir | PBE | optimized geometry

The formation energy comes out at 0.14 eV per atom.

The structure in POSCAR format:
```
ScAg4Ir
1.0
0.0000 3.7895 3.7895
3.7895 0.0000 3.7895
3.7895 3.7895 0.0000
Sc Ag Ir
1 4 1
Direct
0.0000 0.0000 0.0000 Sc
0.1257 0.6248 0.6248 Ag
0.6248 0.1257 0.6248 Ag
0.6248 0.6248 0.1257 Ag
0.6248 0.6248 0.6248 Ag
0.2500 0.2500 0.2500 Ir
```